No. 1
Entry from the Alexandria database: TaW after structural relaxation (GGA-PBE).

CIF file:
```
data_TaW
_symmetry_space_group_name_H-M 'P 4/n m m'
_symmetry_Int_Tables_number 129
_cell_length_a 3.2218
_cell_length_b 3.2218
_cell_length_c 6.5634
_cell_angle_alpha 90.00
_cell_angle_beta 90.00
_cell_angle_gamma 90.00
loop_
_symmetry_equiv_pos_as_xyz
'x,y,z'
'-x,-y,-z'
'-y+1/2,x,z'
'y+1/2,-x,-z'
'-x+1/2,-y+1/2,z'
'x+1/2,y+1/2,-z'
'y,-x+1/2,z'
'-y,x+1/2,-z'
'x+1/2,-y,-z'
'-x+1/2,y,z'
'-y,-x,-z'
'y,x,z'
'-x,y+1/2,-z'
'x,-y+1/2,z'
'y+1/2,x+1/2,-z'
'-y+1/2,-x+1/2,z'
loop_
_atom_site_label
_atom_site_fract_x
_atom_site_fract_y
_atom_site_fract_z
Ta1 0.2500 0.2500 0.1307
W1 0.2500 0.2500 0.6188
```

## Properties
Crystal system: tetragonal
E_tot: -12.49 eV per atom



No. 2
Entry from the Alexandria database: LiScAg2 after structural relaxation (GGA-PBE).

CIF file:
```
data_LiScAg2
_symmetry_space_group_name_H-M 'R -3 m'
_symmetry_Int_Tables_number 166
_symmetry_space_group_name_Hall '-R 3 2"'
_cell_length_a 3.1036
_cell_length_b 3.1036
_cell_length_c 27.1767
_cell_angle_alpha 90.00
_cell_angle_beta 90.00
_cell_angle_gamma 120.00
loop_
_atom_site_label
_atom_site_fract_x
_atom_site_fract_y
_atom_site_fract_z
Li1 0.0000 0.0000 0.0000
Sc1 0.0000 0.0000 0.5000
Ag1 0.0000 0.0000 0.2541
```

## Properties
Crystal system: trigonal
E_tot: -3.55 eV per atom



No. 3
Entry from the Alexandria database: P3AuN after structural relaxation (GGA-PBE).

CIF file:
```
data_P3AuN
_symmetry_space_group_name_H-M 'P m -3 m'
_symmetry_Int_Tables_number 221
_symmetry_space_group_name_Hall '-P 4 2 3'
_cell_length_a 4.1342
_cell_length_b 4.1342
_cell_length_c 4.1342
_cell_angle_alpha 90.00
_cell_angle_beta 90.00
_cell_angle_gamma 90.00
loop_
_atom_site_label
_atom_site_fract_x
_atom_site_fract_y
_atom_site_fract_z
P1 0.0000 0.0000 0.5000
Au1 0.5000 0.5000 0.5000
N1 0.0000 0.0000 0.0000
```

## Properties
E above lowest polymorph: 0 meV per atom
Crystal system: cubic
Raw formation energy: 0.9498 eV per atom



No. 4
Entry from the Alexandria database: CaPrBi after structural relaxation (GGA-PBE).

CIF file:
```
data_CaPrBi
_symmetry_space_group_name_H-M 'I 4 m m'
_symmetry_Int_Tables_number 107
_symmetry_space_group_name_Hall 'I 4 -2'
_cell_length_a 4.2347
_cell_length_b 4.2347
_cell_length_c 11.0596
_cell_angle_alpha 90.00
_cell_angle_beta 90.00
_cell_angle_gamma 90.00
loop_
_atom_site_label
_atom_site_fract_x
_atom_site_fract_y
_atom_site_fract_z
Ca1 0.0000 0.0000 0.0000
Pr1 0.0000 0.0000 0.3043
Bi1 0.0000 0.0000 0.6513
```

## Properties
Crystal system: tetragonal
E_tot: -4.03 eV per atom



No. 5
Entry from the Alexandria database: Y3NbAl after structural relaxation (GGA-PBE).

CIF file:
```
data_Y3NbAl
_symmetry_space_group_name_H-M 'P m -3 m'
_symmetry_Int_Tables_number 221
_symmetry_space_group_name_Hall '-P 4 2 3'
_cell_length_a 5.4393
_cell_length_b 5.4393
_cell_length_c 5.4393
_cell_angle_alpha 90.00
_cell_angle_beta 90.00
_cell_angle_gamma 90.00
loop_
_atom_site_label
_atom_site_fract_x
_atom_site_fract_y
_atom_site_fract_z
Y1 0.0000 0.0000 0.5000
Nb1 0.5000 0.5000 0.5000
Al1 0.0000 0.0000 0.0000
```

## Properties
E above lowest polymorph: 186 meV per atom
Crystal system: cubic



No. 6
Entry from the Alexandria database: TlCdGeBr5 after structural relaxation (GGA-PBE).

CIF file:
```
data_TlCdGeBr5
_symmetry_space_group_name_H-M 'C 1 2/c 1'
_symmetry_Int_Tables_number 15
_symmetry_space_group_name_Hall '-C 2yc'
_cell_length_a 9.5127
_cell_length_b 12.6472
_cell_length_c 10.4191
_cell_angle_alpha 90.00
_cell_angle_beta 113.21
_cell_angle_gamma 90.00
loop_
_atom_site_label
_atom_site_fract_x
_atom_site_fract_y
_atom_site_fract_z
Tl1 0.0000 0.1648 0.2500
Cd1 0.0000 0.1824 0.7500
Ge1 0.0000 0.5000 0.0000
Br1 0.0000 0.4256 0.2500
Br2 0.1165 0.2935 0.6013
Br3 0.1903 0.0578 0.9463
```

## Properties
Crystal system: monoclinic
Raw formation energy: -0.7264 eV per atom



No. 7
Entry from the Alexandria database: P2Pb4O9 after structural relaxation (GGA-PBE).

CIF file:
```
data_P2Pb4O9
_symmetry_space_group_name_H-M 'P 1 21/c 1'
_symmetry_Int_Tables_number 14
_symmetry_space_group_name_Hall '-P 2ybc'
_cell_length_a 9.6703
_cell_length_b 7.3578
_cell_length_c 14.8619
_cell_angle_alpha 90.00
_cell_angle_beta 103.61
_cell_angle_gamma 90.00
loop_
_atom_site_label
_atom_site_fract_x
_atom_site_fract_y
_atom_site_fract_z
P1 0.0312 0.2088 0.4067
P2 0.3742 0.7376 0.8091
Pb1 0.0436 0.7122 0.3452
Pb2 0.2757 0.0161 0.6131
Pb3 0.3073 0.0077 0.0874
Pb4 0.3201 0.2329 0.3311
O1 0.0245 0.5096 0.1132
O2 0.0594 0.2074 0.8148
O3 0.0811 0.6828 0.5579
O4 0.1797 0.2116 0.4759
O5 0.2224 0.2111 0.1756
O6 0.2651 0.6006 0.8340
O7 0.2949 0.5772 0.2839
O8 0.4264 0.6646 0.7235
O9 0.4946 0.2423 0.1080
```

## Properties
Crystal system: monoclinic
Raw formation energy: -1.8049 eV per atom



No. 8
Entry from the Alexandria database: YTi2IrBr after structural relaxation (GGA-PBE).

CIF file:
```
data_YTi2IrBr
_symmetry_space_group_name_H-M 'P 4/m m m'
_symmetry_Int_Tables_number 123
_symmetry_space_group_name_Hall '-P 4 2'
_cell_length_a 4.7875
_cell_length_b 4.7875
_cell_length_c 5.6742
_cell_angle_alpha 90.00
_cell_angle_beta 90.00
_cell_angle_gamma 90.00
loop_
_atom_site_label
_atom_site_fract_x
_atom_site_fract_y
_atom_site_fract_z
Y1 0.0000 0.0000 0.0000
Ti1 0.0000 0.5000 0.5000
Ir1 0.0000 0.0000 0.5000
Br1 0.5000 0.5000 0.0000
```

## Properties
Crystal system: tetragonal
Raw formation energy: -0.0682 eV per atom



No. 9
Entry from the Alexandria database: LiPRh3 after structural relaxation (GGA-PBE).

CIF file:
```
data_LiPRh3
_symmetry_space_group_name_H-M 'P m -3 m'
_symmetry_Int_Tables_number 221
_symmetry_space_group_name_Hall '-P 4 2 3'
_cell_length_a 4.3735
_cell_length_b 4.3735
_cell_length_c 4.3735
_cell_angle_alpha 90.00
_cell_angle_beta 90.00
_cell_angle_gamma 90.00
loop_
_atom_site_label
_atom_site_fract_x
_atom_site_fract_y
_atom_site_fract_z
Li1 0.0000 0.0000 0.0000
P1 0.5000 0.5000 0.5000
Rh1 0.0000 0.5000 0.5000
```

## Properties
E above lowest polymorph: 0 meV per atom
Crystal system: cubic



No. 10
Entry from the Alexandria database: TeIrOsPb after structural relaxation (GGA-PBE).

CIF file:
```
data_TeIrOsPb
_symmetry_space_group_name_H-M 'P 3 m 1'
_symmetry_Int_Tables_number 156
_symmetry_space_group_name_Hall 'P 3 -2"'
_cell_length_a 3.9366
_cell_length_b 3.9366
_cell_length_c 7.4136
_cell_angle_alpha 90.00
_cell_angle_beta 90.00
_cell_angle_gamma 120.00
loop_
_atom_site_label
_atom_site_fract_x
_atom_site_fract_y
_atom_site_fract_z
Te1 0.0000 0.0000 0.0000
Ir1 0.3333 0.6667 0.3451
Os1 0.6667 0.3333 0.2075
Pb1 0.6667 0.3333 0.6036
```

## Properties
E above lowest polymorph: 0 meV per atom
Crystal system: trigonal
Raw formation energy: 0.3342 eV per atom



No. 11
Entry from the Alexandria database: Cs2AuBr after structural relaxation (GGA-PBE).

CIF file:
```
data_Cs2AuBr
_symmetry_space_group_name_H-M 'I -4 2 d'
_symmetry_Int_Tables_number 122
_symmetry_space_group_name_Hall 'I -4 2bw'
_cell_length_a 8.2633
_cell_length_b 8.2633
_cell_length_c 16.1894
_cell_angle_alpha 90.00
_cell_angle_beta 90.00
_cell_angle_gamma 90.00
loop_
_atom_site_label
_atom_site_fract_x
_atom_site_fract_y
_atom_site_fract_z
Cs1 0.2471 0.2500 0.1250
Au1 0.0000 0.0000 0.5000
Br1 0.0000 0.0000 0.0000
```

## Properties
E above lowest polymorph: 87 meV per atom
Crystal system: tetragonal
Raw formation energy: -0.9649 eV per atom



No. 12
Entry from the Alexandria database: Ag4Te3 after structural relaxation (GGA-PBE).

CIF file:
```
data_Ag4Te3
_symmetry_space_group_name_H-M 'R -3'
_symmetry_Int_Tables_number 148
_symmetry_space_group_name_Hall '-R 3'
_cell_length_a 14.3622
_cell_length_b 14.3622
_cell_length_c 5.8703
_cell_angle_alpha 90.00
_cell_angle_beta 90.00
_cell_angle_gamma 120.00
loop_
_atom_site_label
_atom_site_fract_x
_atom_site_fract_y
_atom_site_fract_z
Ag1 0.0000 0.0000 0.0000
Ag2 0.0000 0.0000 0.5000
Ag3 0.0014 0.4345 0.3031
Te1 0.0278 0.1958 0.2607
```

## Properties
E above lowest polymorph: 24 meV per atom
Crystal system: trigonal
Raw formation energy: 0.0550 eV per atom